Record 1
# TaNi2Pt, relaxed, DFT GGA-PBEsol
# - Magnetization: 0.00 Bohr magnetons per cell
# - Energy of formation: -502 meV/atom
data_TaNi2Pt
_chemical_formula_sum 'Ta2 Ni4 Pt2'
_cell_length_a 3.7634
_cell_length_b 3.7634
_cell_length_c 7.4194
_cell_angle_alpha 90.00
_cell_angle_beta 90.00
_cell_angle_gamma 90.00
_space_group_name_H-M_alt 'I 4/m m m'
_space_group_IT_number 139
_space_group_name_Hall '-I 4 2'
loop_
_atom_site_label
_atom_site_type_symbol
_atom_site_fract_x
_atom_site_fract_y
_atom_site_fract_z
Ta1 Ta 0.0000 0.0000 0.0000
Ni1 Ni 0.0000 0.5000 0.2500
Pt1 Pt 0.0000 0.0000 0.5000

---

Record 2
# TcNiPt2, relaxed, DFT GGA-PBEsol
# - Energy above the most stable polymorph in this dataset: 90 meV/atom
# - Magnetization: 0.00 Bohr magnetons per cell
# - Energy of formation: -71 meV/atom
data_TcNiPt2
_chemical_formula_sum 'Tc2 Ni2 Pt4'
_cell_length_a 8.8795
_cell_length_b 2.6843
_cell_length_c 4.6369
_cell_angle_alpha 90.00
_cell_angle_beta 100.01
_cell_angle_gamma 90.00
_space_group_name_H-M_alt 'C 1 2/m 1'
_space_group_IT_number 12
_space_group_name_Hall '-C 2y'
loop_
_atom_site_label
_atom_site_type_symbol
_atom_site_fract_x
_atom_site_fract_y
_atom_site_fract_z
Tc1 Tc 0.0000 0.0000 0.0000
Ni1 Ni 0.0000 0.5000 0.5000
Pt1 Pt 0.2487 0.0000 0.7493

---

Record 3
# TcNiPt, relaxed, DFT GGA-PBEsol
# - Energy above the most stable polymorph in this dataset: 0 meV/atom
# - Magnetization: 0.00 Bohr magnetons per cell
# - Energy of formation: -129 meV/atom
data_TcNiPt
_chemical_formula_sum 'Tc2 Ni2 Pt2'
_cell_length_a 2.6625
_cell_length_b 3.7332
_cell_length_c 7.8776
_cell_angle_alpha 90.00
_cell_angle_beta 90.00
_cell_angle_gamma 90.00
_space_group_name_H-M_alt 'I m m 2'
_space_group_IT_number 44
_space_group_name_Hall 'I 2 -2'
loop_
_atom_site_label
_atom_site_type_symbol
_atom_site_fract_x
_atom_site_fract_y
_atom_site_fract_z
Tc1 Tc 0.0000 0.0000 0.0000
Ni1 Ni 0.0000 0.0000 0.3431
Pt1 Pt 0.0000 0.0000 0.6720

---

Record 4
# TcNiPt2, relaxed, DFT GGA-PBEsol
# - Energy above the most stable polymorph in this dataset: 23 meV/atom
# - Magnetization: 0.00 Bohr magnetons per cell
# - Energy of formation: -139 meV/atom
data_TcNiPt2
_chemical_formula_sum 'Tc1 Ni1 Pt2'
_cell_length_a 2.6920
_cell_length_b 3.8075
_cell_length_c 5.2870
_cell_angle_alpha 90.00
_cell_angle_beta 90.00
_cell_angle_gamma 90.00
_space_group_name_H-M_alt 'P m m m'
_space_group_IT_number 47
_space_group_name_Hall '-P 2 2'
loop_
_atom_site_label
_atom_site_type_symbol
_atom_site_fract_x
_atom_site_fract_y
_atom_site_fract_z
Tc1 Tc 0.0000 0.0000 0.0000
Ni1 Ni 0.0000 0.0000 0.5000
Pt1 Pt 0.5000 0.5000 0.2516

---

Record 5
# TcNiPt2, relaxed, DFT GGA-PBEsol
# - Energy above the most stable polymorph in this dataset: 177 meV/atom
# - Magnetization: 0.00 Bohr magnetons per cell
# - Energy of formation: 15 meV/atom
data_TcNiPt2
_chemical_formula_sum 'Tc1 Ni1 Pt2'
_cell_length_a 3.7882
_cell_length_b 3.7882
_cell_length_c 3.7965
_cell_angle_alpha 90.00
_cell_angle_beta 90.00
_cell_angle_gamma 90.00
_space_group_name_H-M_alt 'P 4/m m m'
_space_group_IT_number 123
_space_group_name_Hall '-P 4 2'
loop_
_atom_site_label
_atom_site_type_symbol
_atom_site_fract_x
_atom_site_fract_y
_atom_site_fract_z
Tc1 Tc 0.0000 0.0000 0.0000
Ni1 Ni 0.5000 0.5000 0.0000
Pt1 Pt 0.0000 0.5000 0.5000

---

Record 6
# TcNiPt2, relaxed, DFT GGA-PBEsol
# - Energy above the most stable polymorph in this dataset: 46 meV/atom
# - Magnetization: 0.00 Bohr magnetons per cell
# - Energy of formation: -115 meV/atom
data_TcNiPt2
_chemical_formula_sum 'Tc2 Ni2 Pt4'
_cell_length_a 8.8541
_cell_length_b 2.6811
_cell_length_c 4.6543
_cell_angle_alpha 90.00
_cell_angle_beta 100.01
_cell_angle_gamma 90.00
_space_group_name_H-M_alt 'C 1 m 1'
_space_group_IT_number 8
_space_group_name_Hall 'C -2y'
loop_
_atom_site_label
_atom_site_type_symbol
_atom_site_fract_x
_atom_site_fract_y
_atom_site_fract_z
Tc1 Tc 0.0000 0.0000 0.0000
Ni1 Ni 0.2567 0.0000 0.7515
Pt1 Pt 0.0079 0.5000 0.5155
Pt2 Pt 0.2510 0.5000 0.2306

---

Record 7
# TcNiPt, relaxed, DFT GGA-PBEsol
# - Energy above the most stable polymorph in this dataset: 17 meV/atom
# - Magnetization: 0.00 Bohr magnetons per cell
# - Energy of formation: -112 meV/atom
data_TcNiPt
_chemical_formula_sum 'Tc2 Ni2 Pt2'
_cell_length_a 2.6710
_cell_length_b 2.6710
_cell_length_c 10.9827
_cell_angle_alpha 90.00
_cell_angle_beta 90.00
_cell_angle_gamma 90.00
_space_group_name_H-M_alt 'I 4 m m'
_space_group_IT_number 107
_space_group_name_Hall 'I 4 -2'
loop_
_atom_site_label
_atom_site_type_symbol
_atom_site_fract_x
_atom_site_fract_y
_atom_site_fract_z
Tc1 Tc 0.0000 0.0000 0.0000
Ni1 Ni 0.0000 0.0000 0.6518
Pt1 Pt 0.0000 0.0000 0.3226

---

Record 8
# TcNiPt, relaxed, DFT GGA-PBEsol
# - Energy above the most stable polymorph in this dataset: 544 meV/atom
# - Magnetization: 0.00 Bohr magnetons per cell
# - Energy of formation: 415 meV/atom
data_TcNiPt
_chemical_formula_sum 'Tc4 Ni4 Pt4'
_cell_length_a 5.6056
_cell_length_b 5.6056
_cell_length_c 5.6056
_cell_angle_alpha 90.00
_cell_angle_beta 90.00
_cell_angle_gamma 90.00
_space_group_name_H-M_alt 'F -4 3 m'
_space_group_IT_number 216
_space_group_name_Hall 'F -4 2 3'
loop_
_atom_site_label
_atom_site_type_symbol
_atom_site_fract_x
_atom_site_fract_y
_atom_site_fract_z
Tc1 Tc 0.0000 0.0000 0.0000
Ni1 Ni 0.2500 0.2500 0.7500
Pt1 Pt 0.0000 0.0000 0.5000

---

What is the formula in the second record? TcNiPt2

---

What did the second record say?
# TcNiPt2, relaxed, DFT GGA-PBEsol
# - Energy above the most stable polymorph in this dataset: 90 meV/atom
# - Magnetization: 0.00 Bohr magnetons per cell
# - Energy of formation: -71 meV/atom
data_TcNiPt2
_chemical_formula_sum 'Tc2 Ni2 Pt4'
_cell_length_a 8.8795
_cell_length_b 2.6843
_cell_length_c 4.6369
_cell_angle_alpha 90.00
_cell_angle_beta 100.01
_cell_angle_gamma 90.00
_space_group_name_H-M_alt 'C 1 2/m 1'
_space_group_IT_number 12
_space_group_name_Hall '-C 2y'
loop_
_atom_site_label
_atom_site_type_symbol
_atom_site_fract_x
_atom_site_fract_y
_atom_site_fract_z
Tc1 Tc 0.0000 0.0000 0.0000
Ni1 Ni 0.0000 0.5000 0.5000
Pt1 Pt 0.2487 0.0000 0.7493